(1)
CdBi3O6: relaxed, PBE-GGA.

```
20
Lattice="5.816 0.000 -0.043 0.000 6.356 0.000 0.009 0.000 8.365" Properties=species:S:1:pos:R:3 pbc="T T T"
O 4.955 4.310 4.617
O 3.793 2.772 2.064
O 0.890 0.406 6.268
O 2.032 3.584 6.259
O 1.913 5.246 3.560
O 4.825 4.288 7.721
O 3.783 1.132 7.866
O 2.043 5.224 0.456
O 0.870 2.046 3.705
O 3.913 1.110 4.762
O 4.936 5.950 2.054
O 1.000 2.068 0.601
Bi 2.844 0.266 1.999
Bi 0.005 0.000 4.183
Bi 0.069 3.445 2.163
Bi 5.757 2.912 6.160
Bi 2.981 6.090 6.324
Bi 2.908 3.178 -0.022
Cd 2.913 3.178 4.161
Cd 0.000 0.000 0.000
```

crystal system	monoclinic
formation energy without anion corrections	-1.08	eV per atom
symmetry	P2_1/c, No. 14
excess energy over the best structure of this formula in the dataset	0	meV/atom
raw total energy	-0.19517	Ha/atom

---

(2)
CdBi3O6: relaxed, PBE-GGA.

```
20
Lattice="5.819 0.000 0.000 0.000 7.129 -1.946 0.000 0.645 7.361" Properties=species:S:1:pos:R:3 pbc="T T T"
Cd 5.676 1.714 5.827
Cd 2.766 6.060 -0.412
Bi 2.439 3.229 3.653
Bi 2.676 2.248 -0.036
Bi 5.349 4.545 1.763
Bi 5.585 5.525 5.451
Bi 5.585 0.745 2.122
Bi 2.676 7.028 3.294
O 1.124 5.262 3.219
O 3.599 2.104 5.266
O 1.510 0.796 7.144
O 4.093 4.158 -0.360
O 1.183 3.616 5.776
O 4.420 6.977 -1.728
O 1.124 2.931 1.595
O 0.689 5.669 0.149
O 1.183 1.103 4.025
O 4.093 6.671 1.390
O 4.033 2.511 2.196
O 4.033 4.843 3.821
```

crystal system	orthorhombic
formation energy without anion corrections	-1.07	eV per atom
symmetry	Cmc2_1, No. 36
excess energy over the best structure of this formula in the dataset	14	meV/atom
raw total energy	-0.19466	Ha/atom

---

(3)
Cd2BiOsO8: relaxed, PBE-GGA.

```
12
Lattice="5.049 -0.134 -0.003 -0.117 5.044 -0.006 0.004 0.007 6.659" Properties=species:S:1:pos:R:3 pbc="T T T"
O 1.481 1.481 3.327
O 4.139 0.780 1.415
O 3.455 3.437 3.323
O 1.316 1.318 6.656
O 4.141 0.784 5.237
O 0.795 4.134 1.413
O 3.620 3.600 -0.006
O 0.797 4.138 5.235
Os 0.000 0.000 0.000
Cd 2.469 2.461 5.037
Cd 2.467 2.457 1.614
Bi 0.002 0.004 3.329
```

crystal system	orthorhombic
formation energy without anion corrections	-0.91	eV per atom
symmetry	Cmmm, No. 65
raw total energy	-0.20690	Ha/atom

---

(4)
CdBi2OsO: relaxed, PBE-GGA.

```
5
Lattice="-0.968 -4.558 -2.188 4.732 -1.673 1.393 -1.922 -1.729 4.452" Properties=species:S:1:pos:R:3 pbc="T T T"
Bi -0.961 -0.864 2.226
Bi -0.484 -2.279 -1.094
Os 0.000 0.000 0.000
O 0.921 -3.980 1.828
Cd 2.366 -0.836 0.696
```

crystal system	tetragonal
formation energy without anion corrections	0.75	eV per atom
symmetry	P4/mmm, No. 123
raw total energy	-0.15504	Ha/atom

---

(5)
CdBiP2O: relaxed, PBE-GGA.

```
5
Lattice="5.083 0.000 0.000 0.000 5.083 0.000 0.000 0.000 4.063" Properties=species:S:1:pos:R:3 pbc="T T T"
Bi 2.542 2.542 2.032
O 0.000 0.000 2.032
P 0.000 2.542 0.000
P 2.542 0.000 0.000
Cd 0.000 0.000 0.000
```

crystal system	tetragonal
formation energy without anion corrections	0.60	eV per atom
symmetry	P4/mmm, No. 123
excess energy over the best structure of this formula in the dataset	0	meV/atom
raw total energy	-0.12913	Ha/atom

---

(6)
CdBiP2O8: relaxed, PBE-GGA.

```
12
Lattice="5.915 -0.033 0.000 -2.653 5.287 0.000 -1.631 -2.627 5.043" Properties=species:S:1:pos:R:3 pbc="T T T"
Bi 0.000 0.000 0.000
Cd -1.327 2.644 2.522
O 1.715 -0.397 1.666
O -0.228 1.274 4.177
O 4.201 0.364 1.666
O 2.874 2.988 0.866
O 0.228 -1.274 4.177
O 3.168 -1.299 3.377
O 0.388 2.266 0.866
O 2.747 1.266 3.377
P 2.958 -0.017 2.522
P 1.631 2.627 0.000
```

crystal system	tetragonal
formation energy without anion corrections	-1.73	eV per atom
symmetry	I-4m2, No. 119
raw total energy	-0.23272	Ha/atom

---

(7)
CdBiP2O: relaxed, PBE-GGA.

```
5
Lattice="5.350 0.000 0.000 0.000 5.350 0.000 0.000 0.000 4.148" Properties=species:S:1:pos:R:3 pbc="T T T"
Bi 0.000 0.000 0.000
P 0.000 2.675 0.000
P 2.675 0.000 0.000
O 0.000 0.000 2.074
Cd 2.675 2.675 2.074
```

crystal system	tetragonal
formation energy without anion corrections	0.61	eV per atom
symmetry	P4/mmm, No. 123
excess energy over the best structure of this formula in the dataset	12	meV/atom
raw total energy	-0.12868	Ha/atom

---

(8)
CdBiPO2: relaxed, PBE-GGA.

```
5
Lattice="-3.657 -1.793 0.872 1.901 -3.684 0.400 0.804 1.005 5.441" Properties=species:S:1:pos:R:3 pbc="T T T"
Cd -0.476 -2.236 3.356
O 0.951 -1.842 0.200
O -1.829 -0.896 0.436
P 0.402 0.503 2.720
Bi 0.000 0.000 0.000
```

crystal system	tetragonal
formation energy without anion corrections	-0.10	eV per atom
symmetry	P4/mmm, No. 123
excess energy over the best structure of this formula in the dataset	0	meV/atom
raw total energy	-0.15160	Ha/atom

---

(9)
CdBiPO2: relaxed, PBE-GGA.

```
5
Lattice="-1.767 -3.328 1.855 3.439 -2.273 -0.803 1.973 1.421 4.428" Properties=species:S:1:pos:R:3 pbc="T T T"
Cd 0.000 0.000 0.000
Bi 1.823 -2.090 2.740
P 0.987 0.711 2.214
O -0.883 -1.664 0.928
O 1.719 -1.137 -0.401
```

crystal system	tetragonal
formation energy without anion corrections	0.20	eV per atom
symmetry	P4/mmm, No. 123
excess energy over the best structure of this formula in the dataset	296	meV/atom
raw total energy	-0.14071	Ha/atom

---

(10)
PaCdBiO6: relaxed, PBE-GGA.

```
9
Lattice="4.882 0.000 0.000 0.000 5.589 0.000 0.000 -2.795 4.840" Properties=species:S:1:pos:R:3 pbc="T T T"
O 1.238 -1.813 3.340
O 3.643 -0.808 1.600
O 3.643 -1.005 4.740
O 1.238 0.808 1.600
O 1.238 1.005 4.740
O 3.643 1.813 3.340
Bi 2.441 0.000 0.000
Pa 0.000 0.000 3.227
Cd 2.441 2.795 1.613
```

crystal system	trigonal
formation energy without anion corrections	-1.90	eV per atom
symmetry	P312, No. 149
raw total energy	-0.24963	Ha/atom

---

(11)
PaCdBiO5: relaxed, PBE-GGA.

```
16
Lattice="6.706 -0.316 -0.405 -2.260 6.321 -0.405 -2.326 -3.142 7.685" Properties=species:S:1:pos:R:3 pbc="T T T"
Cd 2.642 -0.956 5.359
Cd -0.523 3.819 1.516
O 3.103 1.022 6.036
O 0.106 2.289 6.618
O -1.201 0.523 4.099
O 2.014 0.575 0.257
O 3.321 2.340 2.775
O -2.347 5.170 1.516
O 4.467 -2.307 5.359
O -0.984 1.841 0.839
O 0.885 -1.974 4.681
O 1.234 4.837 2.193
Pa -1.163 -1.571 3.843
Pa 0.000 0.000 0.000
Bi -1.713 2.269 5.359
Bi 3.833 0.594 1.516
```

crystal system	monoclinic
formation energy without anion corrections	-2.12	eV per atom
symmetry	C2/c, No. 15
raw total energy	-0.25761	Ha/atom

---

(12)
PaCdBi2O6: relaxed, PBE-GGA.

```
20
Lattice="5.977 0.000 0.068 0.000 6.039 0.000 0.013 0.000 8.777" Properties=species:S:1:pos:R:3 pbc="T T T"
Bi 5.828 5.745 2.244
Bi 2.846 3.314 6.599
Bi 0.161 0.294 6.601
Bi 3.143 2.725 2.247
O 5.152 2.595 6.453
O 1.267 4.646 5.253
O 1.740 1.627 7.947
O 1.605 1.682 5.050
O 4.587 1.338 0.695
O 4.249 4.413 0.898
O 1.403 4.701 8.150
O 2.157 0.425 2.030
O 4.385 4.358 3.796
O 3.832 5.614 6.815
O 4.722 1.393 3.592
O 0.837 3.445 2.392
Pa 2.988 0.000 0.034
Pa 0.006 3.020 4.389
Cd 0.000 3.020 0.000
Cd 2.995 0.000 4.423
```

crystal system	monoclinic
formation energy without anion corrections	-1.84	eV per atom
symmetry	P2_1/c, No. 14
raw total energy	-0.24375	Ha/atom

---

(13)
PaCdBi2O8: relaxed, PBE-GGA.

```
12
Lattice="6.338 0.336 0.000 -2.510 5.829 0.000 -1.914 -3.083 5.207" Properties=species:S:1:pos:R:3 pbc="T T T"
O 0.274 2.284 0.972
O -0.012 1.824 4.235
O 3.323 -1.643 3.690
O 3.015 1.980 3.690
O 0.012 -1.824 4.235
O 3.554 3.881 0.972
O 1.477 -0.497 1.517
O 4.861 0.834 1.517
Bi 1.914 3.083 0.000
Bi 3.169 0.168 2.603
Cd -1.255 2.915 2.603
Pa 0.000 0.000 0.000
```

crystal system	tetragonal
formation energy without anion corrections	-1.48	eV per atom
symmetry	I-4m2, No. 119
raw total energy	-0.23164	Ha/atom

---

(14)
PaCd2BiO8: relaxed, PBE-GGA.

```
12
Lattice="-1.481 -1.995 5.653 -3.712 -3.555 -3.422 5.995 -0.514 -1.386" Properties=species:S:1:pos:R:3 pbc="T T T"
Bi 0.000 0.000 0.000
O 1.397 -4.042 -0.584
O 4.116 -1.292 0.145
O -0.625 -3.137 4.075
O 2.953 -1.860 2.976
O 0.216 -4.634 2.306
O 1.292 -0.937 1.406
O -2.891 -4.477 2.415
O -1.016 -2.316 -0.287
Pa -0.157 -3.422 -1.846
Cd 0.959 -2.642 2.691
Cd -2.596 -2.775 1.115
```

crystal system	tetragonal
formation energy without anion corrections	-1.35	eV per atom
symmetry	I-4m2, No. 119
raw total energy	-0.21755	Ha/atom

---

(15)
Pa2CdBiO8: relaxed, PBE-GGA.

```
12
Lattice="-3.962 0.912 3.632 -3.730 -1.432 -3.710 4.180 -4.922 1.704" Properties=species:S:1:pos:R:3 pbc="T T T"
O -1.917 -1.402 0.214
O -5.619 -1.552 0.490
O 0.364 -3.392 3.038
O -3.760 -1.100 2.176
O -1.606 -3.885 1.243
O -3.751 -2.232 -1.351
O 2.092 -3.667 1.183
O 0.147 -4.539 -0.490
Bi -1.814 -2.135 2.648
Pa -1.698 -3.307 -1.022
Pa -3.846 -0.260 -0.039
Cd 0.000 0.000 0.000
```

crystal system	tetragonal
formation energy without anion corrections	-2.50	eV per atom
symmetry	I-4, No. 82
raw total energy	-0.28621	Ha/atom

---

(16)
CdBiPb2O: relaxed, PBE-GGA.

```
5
Lattice="-3.058 2.110 -3.625 -4.189 -1.762 2.508 -0.193 4.042 2.516" Properties=species:S:1:pos:R:3 pbc="T T T"
O 0.000 0.000 0.000
Pb -2.094 -0.881 1.254
Pb -1.529 1.055 -1.812
Bi -3.720 2.195 0.700
Cd -0.097 2.021 1.258
```

crystal system	tetragonal
formation energy without anion corrections	-0.29	eV per atom
symmetry	P4/mmm, No. 123
raw total energy	-0.13672	Ha/atom

---

(17)
CdBiPb2O6: relaxed, PBE-GGA.

```
20
Lattice="5.854 0.000 0.021 0.000 6.189 0.000 0.082 0.000 8.511" Properties=species:S:1:pos:R:3 pbc="T T T"
O 1.891 4.458 3.543
O 4.045 1.731 4.989
O 4.069 2.019 8.230
O 4.834 5.114 4.567
O 3.672 0.440 2.248
O 2.264 5.749 6.284
O 0.785 2.654 6.493
O 1.077 1.363 0.723
O 1.102 1.075 3.965
O 1.866 4.170 0.301
O 5.150 3.535 2.038
O 4.859 4.826 7.808
Pb 3.052 3.384 6.548
Pb 0.084 5.899 2.282
Pb 2.884 2.805 1.984
Pb 5.852 0.290 6.249
Bi 2.968 0.000 4.266
Bi 0.000 3.094 0.000
Cd 0.041 3.094 4.255
Cd 2.927 0.000 0.010
```

crystal system	monoclinic
formation energy without anion corrections	-0.93	eV per atom
symmetry	P2_1/c, No. 14
raw total energy	-0.18826	Ha/atom

---

(18)
CdBiPdO4: relaxed, PBE-GGA.

```
14
Lattice="-4.223 -3.816 -2.511 6.265 -2.668 1.225 -4.298 1.292 5.264" Properties=species:S:1:pos:R:3 pbc="T T T"
O -3.115 -3.087 2.223
O -4.192 -0.524 3.524
O -0.782 -1.613 3.766
O 1.937 -4.668 0.454
O -1.474 -3.580 0.212
O 0.859 -2.106 1.755
O -6.046 -2.200 2.421
O 3.791 -2.992 1.557
Cd 0.229 -4.712 -0.929
Cd -2.484 -0.480 4.907
Pd 0.984 -0.688 3.244
Pd -1.128 -2.596 1.989
Bi -2.112 -1.908 -1.256
Bi -4.260 -1.262 1.377
```

crystal system	orthorhombic
formation energy without anion corrections	-0.77	eV per atom
symmetry	Imma, No. 74
raw total energy	-0.18498	Ha/atom

---

(19)
CdBi2PdO6: relaxed, PBE-GGA.

```
10
Lattice="5.855 0.001 0.000 2.928 5.071 0.000 2.928 1.691 4.859" Properties=species:S:1:pos:R:3 pbc="T T T"
Cd 8.783 5.072 2.900
Pd 2.928 1.690 0.185
O 4.312 3.542 3.730
O 8.201 3.416 1.212
O 6.488 1.964 3.731
O 6.766 4.637 3.730
O 4.712 1.333 1.212
O 4.654 5.394 1.213
Bi 5.855 3.381 1.949
Bi 2.927 1.691 4.507
```

crystal system	trigonal
formation energy without anion corrections	-0.91	eV per atom
symmetry	R3, No. 146
raw total energy	-0.19389	Ha/atom

---

(20)
PmCd2BiO6: relaxed, PBE-GGA.

```
10
Lattice="-0.990 3.620 4.442 -1.005 -2.129 5.317 4.357 0.637 4.259" Properties=species:S:1:pos:R:3 pbc="T T T"
O 2.829 0.032 6.047
O 2.261 0.541 8.816
O -0.421 2.353 8.430
O 0.321 1.847 4.796
O -0.051 -1.111 7.061
O 2.566 2.733 6.986
Pm 0.872 1.571 10.333
Cd 3.932 0.625 4.174
Cd 0.670 1.050 6.906
Bi -0.431 0.503 3.300
```

crystal system	trigonal
formation energy without anion corrections	-1.59	eV per atom
symmetry	R3, No. 146
raw total energy	-0.20605	Ha/atom